1.
The following is a PBE calculation of a geometry-optimized RbBeFeC2 structure, from Alexandria.

Cell lengths 3.8379, 3.8379, 4.3450 Å; angles 90.00, 90.00, 90.00 degrees
Fractional coordinates of all 5 atoms:
Rb (0.0000, 0.0000, 0.0000)
Be (0.5000, 0.5000, 0.0000)
Fe (0.5000, 0.5000, 0.5000)
C (0.0000, 0.5000, 0.5000)
C (0.5000, 0.0000, 0.5000)

Crystal system ... tetragonal
Energy of formation ... 1.32 eV/atom

2.
The following is a PBE calculation of a geometry-optimized BeFeSbC2 structure, from Alexandria.

Cell lengths 3.6167, 3.6167, 4.4479 Å; angles 90.00, 90.00, 90.00 degrees
Fractional coordinates of all 5 atoms:
Be (0.0000, 0.0000, 0.0000)
Fe (0.0000, 0.0000, 0.5000)
Sb (0.5000, 0.5000, 0.5000)
C (0.0000, 0.5000, 0.0000)
C (0.5000, 0.0000, 0.0000)

Crystal system ... tetragonal
E_form (uncorrected) ... 1.76 eV/atom

3.
The following is a PBE calculation of a geometry-optimized Sc2BeFeC structure, from Alexandria.

Cell lengths 4.4942, 4.4942, 3.5975 Å; angles 90.00, 90.00, 90.00 degrees
Fractional coordinates of all 5 atoms:
Sc (0.0000, 0.5000, 0.0000)
Sc (0.5000, 0.0000, 0.0000)
Be (0.0000, 0.0000, 0.5000)
Fe (0.5000, 0.5000, 0.5000)
C (0.5000, 0.5000, 0.0000)

Crystal system ... tetragonal
Energy of formation ... -0.25 eV/atom

4.
The following is a PBE calculation of a geometry-optimized SmBe2Fe2C structure, from Alexandria.

Cell lengths 3.7514, 3.7514, 5.1966 Å; angles 90.00, 90.00, 90.00 degrees
Fractional coordinates of all 6 atoms:
Sm (0.0000, 0.0000, 0.0000)
Be (0.5000, 0.5000, 0.2540)
Be (0.5000, 0.5000, 0.7460)
Fe (0.0000, 0.5000, 0.5000)
Fe (0.5000, 0.0000, 0.5000)
C (0.0000, 0.0000, 0.5000)

Crystal system ... tetragonal
Energy of formation ... -0.20 eV/atom

5.
The following is a PBE calculation of a geometry-optimized SrBe2FeC structure, from Alexandria.

Cell lengths 4.9296, 4.9296, 4.2923 Å; angles 90.00, 90.00, 90.00 degrees
Fractional coordinates of all 5 atoms:
Sr (0.0000, 0.0000, 0.0000)
Be (0.0000, 0.5000, 0.0000)
Be (0.5000, 0.0000, 0.0000)
Fe (0.5000, 0.5000, 0.5000)
C (0.0000, 0.0000, 0.5000)

Crystal system ... tetragonal
Energy of formation ... 3.14 eV/atom

6.
The following is a PBE calculation of a geometry-optimized ThBeFeC structure, from Alexandria.

Cell lengths 3.7142, 3.7142, 8.4871 Å; angles 90.00, 90.00, 90.00 degrees
Fractional coordinates of all 8 atoms:
Th (0.2500, 0.2500, 0.1637)
Th (0.7500, 0.7500, 0.8363)
Be (0.2500, 0.2500, 0.6643)
Be (0.7500, 0.7500, 0.3357)
Fe (0.2500, 0.7500, 0.5000)
Fe (0.7500, 0.2500, 0.5000)
C (0.2500, 0.2500, 0.8677)
C (0.7500, 0.7500, 0.1323)

Crystal system ... tetragonal
Energy of formation ... -0.14 eV/atom

7.
The following is a PBE calculation of a geometry-optimized ThBe2Fe2C structure, from Alexandria.

Cell lengths 3.7704, 3.7704, 5.2701 Å; angles 90.00, 90.00, 90.00 degrees
Fractional coordinates of all 6 atoms:
Th (0.0000, 0.0000, 0.0000)
Be (0.5000, 0.5000, 0.2545)
Be (0.5000, 0.5000, 0.7455)
Fe (0.0000, 0.5000, 0.5000)
Fe (0.5000, 0.0000, 0.5000)
C (0.0000, 0.0000, 0.5000)

Crystal system ... tetragonal
Energy of formation ... -0.23 eV/atom

8.
The following is a PBE calculation of a geometry-optimized UBeFeC structure, from Alexandria.

Cell lengths 3.5004, 3.5004, 8.2965 Å; angles 90.00, 90.00, 90.00 degrees
Fractional coordinates of all 8 atoms:
U (0.2500, 0.2500, 0.1611)
U (0.7500, 0.7500, 0.8389)
Be (0.2500, 0.2500, 0.6713)
Be (0.7500, 0.7500, 0.3287)
Fe (0.2500, 0.7500, 0.5000)
Fe (0.7500, 0.2500, 0.5000)
C (0.2500, 0.2500, 0.8802)
C (0.7500, 0.7500, 0.1198)

Crystal system ... tetragonal
Energy of formation ... -0.09 eV/atom

9.
The following is a PBE calculation of a geometry-optimized YBe2Fe2C structure, from Alexandria.

Cell lengths 3.7415, 3.7415, 5.0491 Å; angles 90.00, 90.00, 90.00 degrees
Fractional coordinates of all 6 atoms:
Y (0.0000, 0.0000, 0.0000)
Be (0.5000, 0.5000, 0.2438)
Be (0.5000, 0.5000, 0.7562)
Fe (0.0000, 0.5000, 0.5000)
Fe (0.5000, 0.0000, 0.5000)
C (0.0000, 0.0000, 0.5000)

Crystal system ... tetragonal
Energy of formation ... -0.25 eV/atom

10.
The following is a PBE calculation of a geometry-optimized BeZnFe2C structure, from Alexandria.

Cell lengths 3.7610, 3.7610, 3.5403 Å; angles 90.00, 90.00, 90.00 degrees
Fractional coordinates of all 5 atoms:
Be (0.0000, 0.0000, 0.0000)
Zn (0.5000, 0.5000, 0.0000)
Fe (0.0000, 0.5000, 0.5000)
Fe (0.5000, 0.0000, 0.5000)
C (0.0000, 0.0000, 0.5000)

Crystal system ... tetragonal
Energy of formation ... 0.06 eV/atom

11.
The following is a PBE calculation of a geometry-optimized BeGa2C structure, from Alexandria.

Cell lengths 5.4754, 5.4754, 8.0516 Å; angles 90.00, 90.00, 90.00 degrees
Fractional coordinates of all 16 atoms:
Be (0.0000, 0.0000, 0.0000)
Be (0.0000, 0.5000, 0.2500)
Be (0.5000, 0.0000, 0.7500)
Be (0.5000, 0.5000, 0.5000)
Ga (0.1847, 0.2500, 0.6250)
Ga (0.2500, 0.6847, 0.8750)
Ga (0.2500, 0.8153, 0.3750)
Ga (0.3153, 0.2500, 0.1250)
Ga (0.6847, 0.7500, 0.1250)
Ga (0.7500, 0.1847, 0.3750)
Ga (0.7500, 0.3153, 0.8750)
Ga (0.8153, 0.7500, 0.6250)
C (0.0000, 0.0000, 0.5000)
C (0.0000, 0.5000, 0.7500)
C (0.5000, 0.0000, 0.2500)
C (0.5000, 0.5000, 0.0000)

Crystal system ... tetragonal
Polymorph energy (0 for the lowest one) ... 0 meV per atom
Energy of formation ... 0.74 eV/atom

12.
The following is a PBE calculation of a geometry-optimized BeGa2C structure, from Alexandria.

Cell lengths 5.8876, 5.8876, 5.8876 Å; angles 90.00, 90.00, 90.00 degrees
Fractional coordinates of all 16 atoms:
Be (0.0000, 0.0000, 0.0000)
Be (0.0000, 0.5000, 0.5000)
Be (0.5000, 0.0000, 0.5000)
Be (0.5000, 0.5000, 0.0000)
Ga (0.2500, 0.2500, 0.2500)
Ga (0.2500, 0.2500, 0.7500)
Ga (0.2500, 0.7500, 0.2500)
Ga (0.2500, 0.7500, 0.7500)
Ga (0.7500, 0.2500, 0.2500)
Ga (0.7500, 0.2500, 0.7500)
Ga (0.7500, 0.7500, 0.2500)
Ga (0.7500, 0.7500, 0.7500)
C (0.0000, 0.0000, 0.5000)
C (0.0000, 0.5000, 0.0000)
C (0.5000, 0.0000, 0.0000)
C (0.5000, 0.5000, 0.5000)

Crystal system ... cubic
Polymorph energy (0 for the lowest one) ... 566 meV per atom
Energy of formation ... 1.31 eV/atom

13.
The following is a PBE calculation of a geometry-optimized Be2GaGeC structure, from Alexandria.

Cell lengths 4.1007, 4.1007, 5.1464 Å; angles 90.00, 90.00, 90.00 degrees
Fractional coordinates of all 5 atoms:
Be (0.0000, 0.5000, 0.0000)
Be (0.5000, 0.0000, 0.0000)
Ga (0.0000, 0.0000, 0.0000)
Ge (0.0000, 0.0000, 0.5000)
C (0.5000, 0.5000, 0.5000)

Crystal system ... tetragonal
Energy of formation ... 1.88 eV/atom

14.
The following is a PBE calculation of a geometry-optimized Hf2BeGaC structure, from Alexandria.

Cell lengths 5.9948, 3.3965, 7.5453 Å; angles 90.00, 108.05, 90.00 degrees
Fractional coordinates of all 10 atoms:
Hf (0.2056, 0.2500, 0.3822)
Hf (0.2144, 0.2500, 0.9716)
Hf (0.7856, 0.7500, 0.0284)
Hf (0.7944, 0.7500, 0.6178)
Be (0.4606, 0.7500, 0.2447)
Be (0.5394, 0.2500, 0.7553)
Ga (0.2886, 0.7500, 0.6937)
Ga (0.7114, 0.2500, 0.3063)
C (0.1673, 0.7500, 0.1688)
C (0.8327, 0.2500, 0.8312)

Crystal system ... monoclinic
Energy of formation ... -0.56 eV/atom

15.
The following is a PBE calculation of a geometry-optimized MnBe2GaC structure, from Alexandria.

Cell lengths 3.4785, 3.4785, 5.1162 Å; angles 90.00, 90.00, 90.00 degrees
Fractional coordinates of all 5 atoms:
Mn (0.0000, 0.0000, 0.0000)
Be (0.0000, 0.5000, 0.5000)
Be (0.5000, 0.0000, 0.5000)
Ga (0.5000, 0.5000, 0.0000)
C (0.5000, 0.5000, 0.5000)

Crystal system ... tetragonal
Polymorph energy (0 for the lowest one) ... 0 meV per atom
Energy of formation ... 0.45 eV/atom

16.
The following is a PBE calculation of a geometry-optimized Mn2BeGaC structure, from Alexandria.

Cell lengths 3.8655, 3.8655, 3.5070 Å; angles 90.00, 90.00, 90.00 degrees
Fractional coordinates of all 5 atoms:
Mn (0.0000, 0.5000, 0.0000)
Mn (0.5000, 0.0000, 0.0000)
Be (0.0000, 0.0000, 0.5000)
Ga (0.5000, 0.5000, 0.5000)
C (0.0000, 0.0000, 0.0000)

Crystal system ... tetragonal
Energy of formation ... -0.06 eV/atom

17.
The following is a PBE calculation of a geometry-optimized MnBe2GaC structure, from Alexandria.

Cell lengths 4.0807, 4.0807, 4.5444 Å; angles 90.00, 90.00, 90.00 degrees
Fractional coordinates of all 5 atoms:
Mn (0.0000, 0.0000, 0.0000)
Be (0.0000, 0.5000, 0.0000)
Be (0.5000, 0.0000, 0.0000)
Ga (0.0000, 0.0000, 0.5000)
C (0.5000, 0.5000, 0.5000)

Crystal system ... tetragonal
Polymorph energy (0 for the lowest one) ... 1534 meV per atom
Energy of formation ... 1.99 eV/atom

18.
The following is a PBE calculation of a geometry-optimized MnBeGa2C structure, from Alexandria.

Cell lengths 4.5562, 4.5562, 3.1600 Å; angles 90.00, 90.00, 90.00 degrees
Fractional coordinates of all 5 atoms:
Mn (0.0000, 0.0000, 0.0000)
Be (0.5000, 0.5000, 0.5000)
Ga (0.0000, 0.5000, 0.5000)
Ga (0.5000, 0.0000, 0.5000)
C (0.5000, 0.5000, 0.0000)

Crystal system ... tetragonal
Energy of formation ... 1.04 eV/atom

19.
The following is a PBE calculation of a geometry-optimized BeGaMo2C structure, from Alexandria.

Cell lengths 4.4862, 4.4862, 3.1141 Å; angles 90.00, 90.00, 90.00 degrees
Fractional coordinates of all 5 atoms:
Be (0.0000, 0.0000, 0.0000)
Ga (0.5000, 0.5000, 0.5000)
Mo (0.0000, 0.5000, 0.0000)
Mo (0.5000, 0.0000, 0.0000)
C (0.0000, 0.0000, 0.5000)

Crystal system ... tetragonal
Energy of formation ... 0.89 eV/atom

20.
The following is a PBE calculation of a geometry-optimized BeGa2MoC structure, from Alexandria.

Cell lengths 4.9132, 4.9132, 4.3712 Å; angles 90.00, 90.00, 90.00 degrees
Fractional coordinates of all 5 atoms:
Be (0.0000, 0.0000, 0.0000)
Ga (0.0000, 0.5000, 0.5000)
Ga (0.5000, 0.0000, 0.5000)
Mo (0.0000, 0.0000, 0.5000)
C (0.5000, 0.5000, 0.0000)

Crystal system ... tetragonal
Energy of formation ... 2.07 eV/atom

The records above give, respectively, calculated volume values of 12.800 11.636 14.532 12.188 20.862 14.636 12.487 12.707 11.780 10.016 15.087 12.755 17.308 14.608 12.381 10.481 15.135 13.120 12.534 21.103 A^3/atom.
The records above give, respectively, total energy values of -4.9962 -5.1879 -7.0666 -6.5858 -2.2224 -7.3502 -7.0680 -8.2623 -6.9238 -6.1735 -4.0074 -3.4417 -2.9805 -7.7322 -5.3230 -6.9215 -3.7891 -4.5942 -6.6387 -3.8972 eV/atom.